Model P:
The following is a PBE calculation of a relaxed SiPRhCl2 crystal, from Alexandria via LeMat-Bulk.

Summary:
DOS at the Fermi energy: 0.880 states/eV/atom
symmetry: P4/mmm, No. 123
total moment: 0.000 Bohr magnetons per cell

The structure in POSCAR format:
```
SiPRhCl2
1.0
4.764 0.000 0.000
0.000 4.764 0.000
0.000 0.000 4.660
P Si Rh Cl
1 1 1 2
Cartesian
0.000 0.000 2.330
2.382 2.382 2.330
0.000 0.000 0.000
0.000 2.382 0.000
2.382 0.000 0.000
```

Model Q:
The following is a PBE calculation of a relaxed SiPRhCl2 crystal, from Alexandria via LeMat-Bulk.

Summary:
DOS at the Fermi energy: 1.525 states/eV/atom
symmetry: P4/mmm, No. 123
total moment: 1.467 Bohr magnetons per cell

The structure in POSCAR format:
```
SiPRhCl2
1.0
-1.651 -2.076 3.597
0.141 -3.897 -2.184
4.565 -0.762 1.655
P Si Rh Cl
1 1 1 2
Cartesian
2.282 -0.381 0.828
0.000 0.000 0.000
1.528 -3.368 1.534
0.071 -1.948 -1.092
-0.826 -1.038 1.799
```

Least stable: model Q

Model P:
The following is a PBE calculation of a relaxed SnP2RhCl crystal, from Alexandria via LeMat-Bulk.

Summary:
DOS at the Fermi energy: 0.673 states/eV/atom
symmetry: P4/mmm, No. 123
total moment: 0.000 Bohr magnetons per cell

The structure in POSCAR format:
```
SnP2RhCl
1.0
-1.087 3.571 2.586
-3.527 -2.303 1.696
3.111 -1.885 3.910
P Rh Sn Cl
2 1 1 1
Cartesian
-1.764 -1.151 0.848
-0.544 1.785 1.293
0.000 0.000 0.000
-0.752 -0.309 4.097
1.555 -0.943 1.955
```

Model Q:
The following is a PBE calculation of a relaxed SnP2RhCl crystal, from Alexandria via LeMat-Bulk.

Summary:
DOS at the Fermi energy: 1.686 states/eV/atom
symmetry: P4/mmm, No. 123
total moment: 0.738 Bohr magnetons per cell

The structure in POSCAR format:
```
SnP2RhCl
1.0
5.019 0.000 0.000
0.000 5.019 0.000
0.000 0.000 4.940
P Rh Sn Cl
2 1 1 1
Cartesian
0.000 2.510 0.000
2.510 0.000 0.000
2.510 2.510 2.470
0.000 0.000 0.000
0.000 0.000 2.470
```

Least stable: model Q

Model P:
The following is a PBE calculation of a relaxed SrP2RhCl crystal, from Alexandria via LeMat-Bulk.

Summary:
DOS at the Fermi energy: 0.556 states/eV/atom
symmetry: P4/mmm, No. 123
total moment: 0.000 Bohr magnetons per cell

The structure in POSCAR format:
```
SrP2RhCl
1.0
4.455 0.000 0.000
0.000 4.455 0.000
0.000 0.000 6.354
Sr Rh P Cl
1 1 2 1
Cartesian
2.227 2.227 3.177
0.000 0.000 0.000
0.000 2.227 0.000
2.227 0.000 0.000
0.000 0.000 3.177
```

Model Q:
The following is a PBE calculation of a relaxed SrP2RhCl crystal, from Alexandria via LeMat-Bulk.

Summary:
DOS at the Fermi energy: 1.451 states/eV/atom
symmetry: P4/mmm, No. 123
total moment: 4.206 Bohr magnetons per cell

The structure in POSCAR format:
```
SrP2RhCl
1.0
-5.112 -0.987 2.292
2.205 -4.231 3.098
1.103 3.468 3.952
Sr Rh P Cl
1 1 2 1
Cartesian
0.000 0.000 0.000
-0.902 -0.875 4.671
1.103 -2.115 1.549
-2.556 -0.493 1.146
0.551 1.734 1.976
```

Least stable: model Q

Model P:
The following is a PBE calculation of a relaxed TePRhCl2 crystal, from Alexandria via LeMat-Bulk.

Summary:
DOS at the Fermi energy: 2.191 states/eV/atom
symmetry: P4/mmm, No. 123
total moment: 2.099 Bohr magnetons per cell

The structure in POSCAR format:
```
TePRhCl2
1.0
5.338 0.000 0.000
0.000 5.338 0.000
0.000 0.000 5.031
P Te Rh Cl
1 1 1 2
Cartesian
0.000 0.000 2.515
0.000 0.000 0.000
2.669 2.669 2.515
0.000 2.669 0.000
2.669 0.000 0.000
```

Model Q:
The following is a PBE calculation of a relaxed TePRhCl2 crystal, from Alexandria via LeMat-Bulk.

Summary:
DOS at the Fermi energy: 0.791 states/eV/atom
symmetry: P4/mmm, No. 123
total moment: 0.080 Bohr magnetons per cell

The structure in POSCAR format:
```
TePRhCl2
1.0
-1.948 -2.527 3.498
2.772 -3.674 -1.111
3.341 1.607 3.022
P Te Rh Cl
1 1 1 2
Cartesian
1.670 0.804 1.511
2.082 -2.297 2.704
0.000 0.000 0.000
1.386 -1.837 -0.555
-0.974 -1.264 1.749
```

Least stable: model P

Model P:
The following is a PBE calculation of a relaxed TiPRhCl2 crystal, from Alexandria via LeMat-Bulk.

Summary:
DOS at the Fermi energy: 1.467 states/eV/atom
symmetry: P4/mmm, No. 123
total moment: 0.128 Bohr magnetons per cell

The structure in POSCAR format:
```
TiPRhCl2
1.0
-4.143 -2.153 -0.001
0.567 -1.092 4.504
-2.108 4.055 1.249
P Cl Rh Ti
1 2 1 1
Cartesian
-1.054 2.028 0.624
0.283 -0.546 2.252
-2.071 -1.077 -0.001
0.000 0.000 0.000
-2.842 0.405 2.876
```

Model Q:
The following is a PBE calculation of a relaxed TiPRhCl2 crystal, from Alexandria via LeMat-Bulk.

Summary:
DOS at the Fermi energy: 1.371 states/eV/atom
symmetry: P4/mmm, No. 123
total moment: 2.184 Bohr magnetons per cell

The structure in POSCAR format:
```
TiPRhCl2
1.0
4.593 0.000 0.000
0.000 4.593 0.000
0.000 0.000 5.075
P Cl Rh Ti
1 2 1 1
Cartesian
0.000 0.000 2.538
0.000 2.297 0.000
2.297 0.000 0.000
2.297 2.297 2.538
0.000 0.000 0.000
```

Model R:
The following is a PBE calculation of a relaxed TiPRhCl2 crystal, from Alexandria via LeMat-Bulk.

Summary:
DOS at the Fermi energy: 0.648 states/eV/atom
symmetry: P4/mmm, No. 123
total moment: 1.277 Bohr magnetons per cell

The structure in POSCAR format:
```
TiPRhCl2
1.0
4.538 0.000 0.000
0.000 5.178 0.000
0.000 0.000 4.538
P Cl Rh Ti
1 2 1 1
Cartesian
2.269 2.589 2.269
0.000 0.000 2.269
2.269 0.000 0.000
0.000 0.000 0.000
0.000 2.589 0.000
```

Least stable: model R

Model P:
The following is a PBE calculation of a relaxed TlPRhCl2 crystal, from Alexandria via LeMat-Bulk.

Summary:
DOS at the Fermi energy: 0.374 states/eV/atom
symmetry: P4/mmm, No. 123
total moment: 0.000 Bohr magnetons per cell

The structure in POSCAR format:
```
TlPRhCl2
1.0
5.223 0.000 0.000
0.000 5.223 0.000
0.000 0.000 4.423
P Tl Rh Cl
1 1 1 2
Cartesian
0.000 0.000 2.212
2.612 2.612 2.212
0.000 0.000 0.000
0.000 2.612 0.000
2.612 0.000 0.000
```

Model Q:
The following is a PBE calculation of a relaxed TlPRhCl2 crystal, from Alexandria via LeMat-Bulk.

Summary:
DOS at the Fermi energy: 1.507 states/eV/atom
symmetry: P4/mmm, No. 123
total moment: 3.412 Bohr magnetons per cell

The structure in POSCAR format:
```
TlPRhCl2
1.0
-0.884 -4.824 -2.179
4.974 -1.513 1.331
-1.757 -1.747 4.582
P Tl Rh Cl
1 1 1 2
Cartesian
-0.879 -0.873 2.291
0.000 0.000 0.000
1.166 -4.042 1.867
2.487 -0.756 0.665
-0.442 -2.412 -1.089
```

Least stable: model Q